## BaCrNO2 (PBE with a Hubbard U)

Data for a relaxed BaCrNO2 crystal.

Properties
Its crystal system is tetragonal. Its total energy is -33.97 eV for the cell shown. The space group is No. 123.

Lattice parameters (Å, degrees): 4.116 4.116 3.872 90.00 90.00 90.00
Atoms (fractional coordinates):
Ba 0.000 0.000 0.000
Cr 0.500 0.500 0.500
N 0.500 0.500 0.000
O 0.000 0.500 0.500
O 0.500 0.000 0.500

## BaCrNO2 (PBE with a Hubbard U)

Data for a relaxed BaCrNO2 crystal.

Properties
Its crystal system is tetragonal. Its total energy is -24.33 eV for the cell shown. The space group is No. 123.

Lattice parameters (Å, degrees): 4.637 4.637 5.157 90.00 90.00 90.00
Atoms (fractional coordinates):
Ba 0.000 0.000 0.000
Cr 0.500 0.500 0.500
N 0.000 0.000 0.500
O 0.000 0.500 0.000
O 0.500 0.000 0.000

no.,DOS at the Fermi energy (states/eV/atom)
1,0.58
2,0.37